{
  "formula": "TiMoOF2",
  "functional": "PBE+U",
  "state": "relaxed",
  "lattice": [[4.229, 0.000, 0.000], [0.000, 4.229, 0.000], [0.000, 0.000, 4.208]],
  "species": ["F", "O", "F", "Mo", "Ti"],
  "frac_coords": [[0.000, 0.500, 0.000], [0.000, 0.000, 0.500], [0.500, 0.000, 0.000], [0.000, 0.000, 0.000], [0.500, 0.500, 0.500]],
  "total_magnetization_mub_per_fu": 3.132,
  "sg": "No. 123",
  "final_energy_ev_per_atom": -5.801
}